No. 1
Material: CeErAl4
Method: DFT, PBE-GGA
State: relaxed

## Properties
Formation enthalpy at 0 K (eV per atom): -0.454

Cell lengths 5.582, 5.582, 5.582 Å; angles 60.00, 60.00, 60.00 degrees
Sites, in units of the cell vectors:
Ce (0.000, 0.000, 0.000)
Er (0.750, 0.750, 0.750)
Al (0.375, 0.375, 0.375)
Al (0.375, 0.375, 0.876)
Al (0.375, 0.876, 0.375)
Al (0.876, 0.375, 0.375)

***

No. 2
Material: ZrCr8
Method: DFT, PBE-GGA
State: relaxed

## Properties
Formation enthalpy at 0 K (eV per atom): 0.303

Cell lengths 5.632, 5.632, 5.632 Å; angles 98.46, 98.46, 134.89 degrees
Sites, in units of the cell vectors:
Zr (0.000, 0.000, 0.000)
Cr (0.000, 0.351, 0.351)
Cr (0.000, 0.649, 0.649)
Cr (0.319, 0.319, 0.639)
Cr (0.319, 0.681, 0.000)
Cr (0.351, 0.000, 0.351)
Cr (0.649, 0.000, 0.649)
Cr (0.681, 0.319, 0.000)
Cr (0.681, 0.681, 0.361)

***

No. 3
Material: MnBiSe2
Method: DFT, PBE-GGA
State: relaxed

## Properties
Formation energy (no corrections) (eV per atom): -0.015

Cell lengths 6.668, 6.668, 6.668 Å; angles 100.54, 100.54, 129.35 degrees
Sites, in units of the cell vectors:
Mn (0.250, 0.750, 0.500)
Mn (0.750, 0.250, 0.500)
Bi (0.250, 0.250, 0.000)
Bi (0.750, 0.750, 0.000)
Se (0.151, 0.651, 0.801)
Se (0.349, 0.151, 0.500)
Se (0.651, 0.849, 0.500)
Se (0.849, 0.349, 0.199)

***

No. 4
Material: CaP3Ru
Method: DFT, PBE-GGA
State: relaxed

## Properties
Formation enthalpy at 0 K (eV per atom): 1.760
E above lowest polymorph (meV/atom): 1730

Cell lengths 5.028, 5.028, 5.028 Å; angles 90.00, 90.00, 90.00 degrees
Sites, in units of the cell vectors:
Ca (0.000, 0.000, 0.000)
P (0.000, 0.000, 0.500)
P (0.000, 0.500, 0.000)
P (0.500, 0.000, 0.000)
Ru (0.500, 0.500, 0.500)

***

Which E_tot belongs to each record? In order, -4.70; -9.20; -5.02; -3.74 eV/atom.
Which total moment belongs to each record? In order, 0.5; 0.0; 1.2; 2.9 μB/f.u..